(1)
# KIn3Ir | the Alexandria database | PBE | optimized geometry
data_KIn3Ir
_symmetry_space_group_name_H-M 'P 1'
_symmetry_Int_Tables_number 1
_symmetry_space_group_name_Hall 'P 1'
_cell_length_a 4.492
_cell_length_b 4.492
_cell_length_c 21.664
_cell_angle_alpha 90.00
_cell_angle_beta 90.00
_cell_angle_gamma 120.00
loop_
_atom_site_label
_atom_site_type_symbol
_atom_site_fract_x
_atom_site_fract_y
_atom_site_fract_z
In1 In 0.333 0.667 0.870
In2 In 0.333 0.667 0.630
In3 In 0.000 0.000 0.750
K1 K 0.000 0.000 0.000
Ir1 Ir 0.333 0.667 0.750
In4 In 0.667 0.333 0.370
In5 In 0.000 0.000 0.250
Ir2 Ir 0.667 0.333 0.250
In6 In 0.667 0.333 0.130
K2 K 0.000 0.000 0.500
# **Density of states at the Fermi level**: 0.409 states/eV/atom
# **Polymorph energy (0 for the lowest one)**: 0.3690 eV/atom

(2)
# KIn3Ir | the Alexandria database | PBE | optimized geometry
data_KIn3Ir
_symmetry_space_group_name_H-M 'P 1'
_symmetry_Int_Tables_number 1
_symmetry_space_group_name_Hall 'P 1'
_cell_length_a 8.493
_cell_length_b 8.371
_cell_length_c 5.194
_cell_angle_alpha 90.00
_cell_angle_beta 127.69
_cell_angle_gamma 90.00
loop_
_atom_site_label
_atom_site_type_symbol
_atom_site_fract_x
_atom_site_fract_y
_atom_site_fract_z
In1 In 0.244 0.500 0.244
In2 In 0.756 0.000 0.756
K1 K 0.000 0.250 0.499
Ir1 Ir 0.500 0.250 0.502
K2 K 0.000 0.750 0.501
In3 In 0.756 0.500 0.756
In4 In 0.244 0.000 0.244
Ir2 Ir 0.500 0.750 0.498
In5 In 0.500 0.750 0.998
In6 In 0.500 0.250 0.002
# **Density of states at the Fermi level**: 0.617 states/eV/atom
# **Polymorph energy (0 for the lowest one)**: 0.0809 eV/atom

(3)
# KIn3Ir | the Alexandria database | PBE | optimized geometry
data_KIn3Ir
_symmetry_space_group_name_H-M 'P 1'
_symmetry_Int_Tables_number 1
_symmetry_space_group_name_Hall 'P 1'
_cell_length_a 5.249
_cell_length_b 5.249
_cell_length_c 5.249
_cell_angle_alpha 90.00
_cell_angle_beta 90.00
_cell_angle_gamma 90.00
loop_
_atom_site_label
_atom_site_type_symbol
_atom_site_fract_x
_atom_site_fract_y
_atom_site_fract_z
In1 In 0.500 0.000 0.000
In2 In 0.000 0.500 0.000
Ir1 Ir 0.000 0.000 0.000
K1 K 0.500 0.500 0.500
In3 In 0.000 0.000 0.500
# **Density of states at the Fermi level**: 0.639 states/eV/atom
# **Polymorph energy (0 for the lowest one)**: 0.0000 eV/atom

(4)
# K2In2Ir | the Alexandria database | PBE | optimized geometry
data_K2In2Ir
_symmetry_space_group_name_H-M 'P 1'
_symmetry_Int_Tables_number 1
_symmetry_space_group_name_Hall 'P 1'
_cell_length_a 3.951
_cell_length_b 3.951
_cell_length_c 8.747
_cell_angle_alpha 76.95
_cell_angle_beta 76.95
_cell_angle_gamma 90.00
loop_
_atom_site_label
_atom_site_type_symbol
_atom_site_fract_x
_atom_site_fract_y
_atom_site_fract_z
In1 In 0.417 0.417 0.166
In2 In 0.583 0.583 0.834
Ir1 Ir 0.000 0.000 0.000
K1 K 0.250 0.750 0.500
K2 K 0.750 0.250 0.500
# **Density of states at the Fermi level**: 0.618 states/eV/atom
# **Polymorph energy (0 for the lowest one)**: 0.6669 eV/atom

(5)
# KIn2Ir | the Alexandria database | PBE | optimized geometry
data_KIn2Ir
_symmetry_space_group_name_H-M 'P 1'
_symmetry_Int_Tables_number 1
_symmetry_space_group_name_Hall 'P 1'
_cell_length_a 6.761
_cell_length_b 6.761
_cell_length_c 6.762
_cell_angle_alpha 54.89
_cell_angle_beta 54.89
_cell_angle_gamma 25.91
loop_
_atom_site_label
_atom_site_type_symbol
_atom_site_fract_x
_atom_site_fract_y
_atom_site_fract_z
In1 In 0.022 0.022 0.952
In2 In 0.846 0.846 0.553
K1 K 0.189 0.189 0.258
Ir1 Ir 0.443 0.443 0.737
# **Density of states at the Fermi level**: 0.502 states/eV/atom
# **Polymorph energy (0 for the lowest one)**: 0.1554 eV/atom

(6)
# K2InIr | the Alexandria database | PBE | optimized geometry
data_K2InIr
_symmetry_space_group_name_H-M 'P 1'
_symmetry_Int_Tables_number 1
_symmetry_space_group_name_Hall 'P 1'
_cell_length_a 3.057
_cell_length_b 3.057
_cell_length_c 11.332
_cell_angle_alpha 90.00
_cell_angle_beta 90.00
_cell_angle_gamma 90.01
loop_
_atom_site_label
_atom_site_type_symbol
_atom_site_fract_x
_atom_site_fract_y
_atom_site_fract_z
K1 K 0.000 0.000 0.965
K2 K 0.000 0.000 0.535
In1 In 0.500 0.500 0.250
Ir1 Ir 0.500 0.500 0.750
# **Density of states at the Fermi level**: 0.902 states/eV/atom

(7)
# K2InIr | the Alexandria database | PBE | optimized geometry
data_K2InIr
_symmetry_space_group_name_H-M 'P 1'
_symmetry_Int_Tables_number 1
_symmetry_space_group_name_Hall 'P 1'
_cell_length_a 6.043
_cell_length_b 6.799
_cell_length_c 3.562
_cell_angle_alpha 55.74
_cell_angle_beta 91.26
_cell_angle_gamma 113.37
loop_
_atom_site_label
_atom_site_type_symbol
_atom_site_fract_x
_atom_site_fract_y
_atom_site_fract_z
Ir1 Ir 0.500 0.000 0.500
K1 K 0.000 0.000 0.000
K2 K 0.000 0.500 0.500
In1 In 0.500 0.500 0.000
# **Density of states at the Fermi level**: 0.621 states/eV/atom

(8)
# KIn2Ir | the Alexandria database | PBE | optimized geometry
data_KIn2Ir
_symmetry_space_group_name_H-M 'P 1'
_symmetry_Int_Tables_number 1
_symmetry_space_group_name_Hall 'P 1'
_cell_length_a 6.135
_cell_length_b 6.097
_cell_length_c 2.933
_cell_angle_alpha 80.41
_cell_angle_beta 81.55
_cell_angle_gamma 117.89
loop_
_atom_site_label
_atom_site_type_symbol
_atom_site_fract_x
_atom_site_fract_y
_atom_site_fract_z
Ir1 Ir 0.000 0.500 0.500
K1 K 0.500 0.500 0.000
In1 In 0.500 0.000 0.500
In2 In 0.000 0.000 0.000
# **Density of states at the Fermi level**: 0.766 states/eV/atom
# **Polymorph energy (0 for the lowest one)**: 0.5485 eV/atom

(9)
# KIn3Ir | the Alexandria database | PBE | optimized geometry
data_KIn3Ir
_symmetry_space_group_name_H-M 'P 1'
_symmetry_Int_Tables_number 1
_symmetry_space_group_name_Hall 'P 1'
_cell_length_a 7.182
_cell_length_b 7.465
_cell_length_c 7.638
_cell_angle_alpha 123.51
_cell_angle_beta 118.04
_cell_angle_gamma 89.93
loop_
_atom_site_label
_atom_site_type_symbol
_atom_site_fract_x
_atom_site_fract_y
_atom_site_fract_z
K1 K 0.091 0.846 0.396
Ir1 Ir 0.264 0.473 0.739
In1 In 0.012 0.315 0.837
In2 In 0.848 0.371 0.396
K2 K 0.827 0.867 0.864
In3 In 0.368 0.906 0.946
In4 In 0.337 0.372 0.396
Ir2 Ir 0.438 0.321 0.088
In5 In 0.534 0.767 0.281
In6 In 0.613 0.313 0.835
# **Density of states at the Fermi level**: 0.121 states/eV/atom
# **Polymorph energy (0 for the lowest one)**: 0.0362 eV/atom

(10)
# K2InIr | the Alexandria database | PBE | optimized geometry
data_K2InIr
_symmetry_space_group_name_H-M 'P 1'
_symmetry_Int_Tables_number 1
_symmetry_space_group_name_Hall 'P 1'
_cell_length_a 5.239
_cell_length_b 5.239
_cell_length_c 5.239
_cell_angle_alpha 120.03
_cell_angle_beta 120.03
_cell_angle_gamma 89.95
loop_
_atom_site_label
_atom_site_type_symbol
_atom_site_fract_x
_atom_site_fract_y
_atom_site_fract_z
K1 K 0.000 0.000 0.000
K2 K 0.250 0.750 0.500
Ir1 Ir 0.750 0.250 0.500
In1 In 0.500 0.500 0.000
# **Density of states at the Fermi level**: 0.408 states/eV/atom

(11)
# KIn3Ir | the Alexandria database | PBE | optimized geometry
data_KIn3Ir
_symmetry_space_group_name_H-M 'P 1'
_symmetry_Int_Tables_number 1
_symmetry_space_group_name_Hall 'P 1'
_cell_length_a 6.024
_cell_length_b 13.506
_cell_length_c 6.579
_cell_angle_alpha 90.00
_cell_angle_beta 90.00
_cell_angle_gamma 90.00
loop_
_atom_site_label
_atom_site_type_symbol
_atom_site_fract_x
_atom_site_fract_y
_atom_site_fract_z
K1 K 0.500 0.000 0.000
In1 In 0.499 0.250 0.905
In2 In 0.000 0.872 0.995
Ir1 Ir 0.750 0.750 0.750
Ir2 Ir 0.250 0.250 0.250
K2 K 0.000 0.000 0.500
In3 In 0.000 0.128 0.005
In4 In 0.500 0.128 0.495
K3 K 0.500 0.500 0.000
In5 In 0.000 0.372 0.005
In6 In 0.501 0.750 0.095
Ir3 Ir 0.250 0.750 0.750
In7 In 0.001 0.750 0.405
K4 K 0.000 0.500 0.500
Ir4 Ir 0.750 0.250 0.250
In8 In 0.500 0.372 0.495
In9 In 0.999 0.250 0.595
In10 In 0.500 0.872 0.505
In11 In 0.000 0.628 0.995
In12 In 0.500 0.628 0.505
# **Density of states at the Fermi level**: 0.781 states/eV/atom
# **Polymorph energy (0 for the lowest one)**: 0.1130 eV/atom

(12)
# K2InIr | the Alexandria database | PBE | optimized geometry
data_K2InIr
_symmetry_space_group_name_H-M 'P 1'
_symmetry_Int_Tables_number 1
_symmetry_space_group_name_Hall 'P 1'
_cell_length_a 6.425
_cell_length_b 6.425
_cell_length_c 6.425
_cell_angle_alpha 142.07
_cell_angle_beta 127.24
_cell_angle_gamma 66.80
loop_
_atom_site_label
_atom_site_type_symbol
_atom_site_fract_x
_atom_site_fract_y
_atom_site_fract_z
K1 K 0.269 0.769 0.500
In1 In 0.559 0.559 0.000
Ir1 Ir 0.703 0.203 0.500
K2 K 0.969 0.969 0.000
# **Density of states at the Fermi level**: 0.289 states/eV/atom

| no. | formation energy from the elements (eV/atom) | raw total energy (eV/atom) |
| --- | --- | --- |
| 1 | 0.211 | -3.4235 |
| 2 | -0.077 | -3.7115 |
| 3 | -0.158 | -3.7925 |
| 4 | 0.759 | -2.5476 |
| 5 | 0.143 | -3.7160 |
| 6 | 0.607 | -2.8420 |
| 7 | 0.590 | -2.8585 |
| 8 | 0.536 | -3.3229 |
| 9 | -0.122 | -3.7563 |
| 10 | 0.489 | -2.9591 |
| 11 | -0.045 | -3.6794 |
| 12 | 0.321 | -3.1276 |